Entry 1:
Computed, not measured: RbGaC after structural relaxation at the PBE level of DFT.

Formation energy from the elements (eV per atom): 0.732

Cell and atoms, written as CIF:
```
data_RbGaC
_chemical_formula_sum 'Rb2 Ga2 C2'
_space_group_name_H-M_alt 'P m m a'
_space_group_IT_number 51
_space_group_name_Hall '-P 2a 2a'
_cell_length_a 6.6940
_cell_length_b 4.9263
_cell_length_c 4.8986
_cell_angle_alpha 90.00
_cell_angle_beta 90.00
_cell_angle_gamma 90.00
loop_
_atom_site_label
_atom_site_fract_x
_atom_site_fract_y
_atom_site_fract_z
_atom_site_occupancy
Rb1 0.2500 0.0000 0.0740 1
Ga1 0.0000 0.5000 0.5000 1
C1 0.2500 0.5000 0.6591 1
```

=====

Entry 2:
Computed, not measured: Pr3PuHg5 after structural relaxation at the PBE level of DFT.

Formation energy from the elements (eV per atom): -0.369

Cell and atoms, written as CIF:
```
data_Pr3PuHg5
_chemical_formula_sum 'Pr6 Pu2 Hg10'
_space_group_name_H-M_alt 'P 63/m c m'
_space_group_IT_number 193
_space_group_name_Hall '-P 6c 2'
_cell_length_a 9.4376
_cell_length_b 9.4376
_cell_length_c 6.4810
_cell_angle_alpha 90.00
_cell_angle_beta 90.00
_cell_angle_gamma 120.00
loop_
_atom_site_label
_atom_site_fract_x
_atom_site_fract_y
_atom_site_fract_z
_atom_site_occupancy
Pr1 0.0000 0.3607 0.2500 1
Pu1 0.0000 0.0000 0.0000 1
Hg1 0.0000 0.3059 0.7500 1
Hg2 0.3333 0.6667 0.0000 1
```

=====

Entry 3:
Computed, not measured: Sr11Ca4 after structural relaxation at the PBE level of DFT.

Formation energy from the elements (eV per atom): 0.048

Cell and atoms, written as CIF:
```
data_Sr11Ca4
_chemical_formula_sum 'Sr22 Ca8'
_space_group_name_H-M_alt 'P 42/m n m'
_space_group_IT_number 136
_space_group_name_Hall '-P 4n 2n'
_cell_length_a 14.3429
_cell_length_b 14.3429
_cell_length_c 7.5589
_cell_angle_alpha 90.00
_cell_angle_beta 90.00
_cell_angle_gamma 90.00
loop_
_atom_site_label
_atom_site_fract_x
_atom_site_fract_y
_atom_site_fract_z
_atom_site_occupancy
Sr1 0.0000 0.0000 0.0000 1
Sr2 0.0633 0.2690 0.0000 1
Sr3 0.1056 0.1056 0.5000 1
Sr4 0.1842 0.8158 0.2504 1
Ca1 0.0342 0.3724 0.5000 1
```

=====

Entry 4:
Computed, not measured: MnAsCl2 after structural relaxation at the PBE level of DFT.

Energy above the lowest structure with this stoichiometry (meV/atom): 286
Formation energy (no corrections) (eV per atom): -0.134

Cell and atoms, written as CIF:
```
data_MnAsCl2
_chemical_formula_sum 'Mn2 As2 Cl4'
_space_group_name_H-M_alt 'C m m 2'
_space_group_IT_number 35
_space_group_name_Hall 'C 2 -2'
_cell_length_a 3.3916
_cell_length_b 6.0554
_cell_length_c 9.0288
_cell_angle_alpha 90.00
_cell_angle_beta 90.00
_cell_angle_gamma 90.00
loop_
_atom_site_label
_atom_site_fract_x
_atom_site_fract_y
_atom_site_fract_z
_atom_site_occupancy
Mn1 0.0000 0.0000 0.0000 1
As1 0.0000 0.5000 0.7963 1
Cl1 0.0000 0.0000 0.5708 1
Cl2 0.0000 0.5000 0.1777 1
```

=====

Entry 5:
Computed, not measured: NaSrMg2Ge after structural relaxation at the PBE level of DFT.

Formation energy from the elements (eV per atom): 0.615

Cell and atoms, written as CIF:
```
data_NaSrMg2Ge
_chemical_formula_sum 'Na1 Sr1 Mg2 Ge1'
_space_group_name_H-M_alt 'P 4/m m m'
_space_group_IT_number 123
_space_group_name_Hall '-P 4 2'
_cell_length_a 5.2428
_cell_length_b 5.2428
_cell_length_c 5.9320
_cell_angle_alpha 90.00
_cell_angle_beta 90.00
_cell_angle_gamma 90.00
loop_
_atom_site_label
_atom_site_fract_x
_atom_site_fract_y
_atom_site_fract_z
_atom_site_occupancy
Na1 0.0000 0.0000 0.0000 1
Sr1 0.0000 0.0000 0.5000 1
Mg1 0.0000 0.5000 0.0000 1
Ge1 0.5000 0.5000 0.5000 1
```

=====

Entry 6:
Computed, not measured: Ti2ReSn after structural relaxation at the PBE level of DFT.

Formation energy from the elements (eV per atom): 0.288

Cell and atoms, written as CIF:
```
data_Ti2ReSn
_chemical_formula_sum 'Ti8 Re4 Sn4'
_space_group_name_H-M_alt 'I -4 2 d'
_space_group_IT_number 122
_space_group_name_Hall 'I -4 2bw'
_cell_length_a 7.4478
_cell_length_b 7.4478
_cell_length_c 5.4970
_cell_angle_alpha 90.00
_cell_angle_beta 90.00
_cell_angle_gamma 90.00
loop_
_atom_site_label
_atom_site_fract_x
_atom_site_fract_y
_atom_site_fract_z
_atom_site_occupancy
Ti1 0.2002 0.2500 0.1250 1
Re1 0.0000 0.0000 0.0000 1
Sn1 0.0000 0.0000 0.5000 1
```

=====

Entry 7:
Computed, not measured: Ni2PPt after structural relaxation at the PBE level of DFT.

Formation energy from the elements (eV per atom): -0.247

Cell and atoms, written as CIF:
```
data_Ni2PPt
_chemical_formula_sum 'Ni6 P3 Pt3'
_space_group_name_H-M_alt 'R -3 m'
_space_group_IT_number 166
_space_group_name_Hall '-R 3 2"'
_cell_length_a 2.7578
_cell_length_b 2.7578
_cell_length_c 22.8072
_cell_angle_alpha 90.00
_cell_angle_beta 90.00
_cell_angle_gamma 120.00
loop_
_atom_site_label
_atom_site_fract_x
_atom_site_fract_y
_atom_site_fract_z
_atom_site_occupancy
Ni1 0.0000 0.0000 0.2375 1
P1 0.0000 0.0000 0.5000 1
Pt1 0.0000 0.0000 0.0000 1
```

=====

Entry 8:
Computed, not measured: NiTePtI2 after structural relaxation at the PBE level of DFT.

Energy above the lowest structure with this stoichiometry (meV/atom): 0
Formation energy (no corrections) (eV per atom): 0.798

Cell and atoms, written as CIF:
```
data_NiTePtI2
_chemical_formula_sum 'Ni1 Te1 Pt1 I2'
_space_group_name_H-M_alt 'P 4/m m m'
_space_group_IT_number 123
_space_group_name_Hall '-P 4 2'
_cell_length_a 5.5182
_cell_length_b 5.5182
_cell_length_c 5.2838
_cell_angle_alpha 90.00
_cell_angle_beta 90.00
_cell_angle_gamma 90.00
loop_
_atom_site_label
_atom_site_fract_x
_atom_site_fract_y
_atom_site_fract_z
_atom_site_occupancy
Ni1 0.0000 0.0000 0.0000 1
Te1 0.5000 0.5000 0.0000 1
Pt1 0.5000 0.5000 0.5000 1
I1 0.0000 0.5000 0.5000 1
```

=====

Entry 9:
Computed, not measured: Sr2Sn5Rh3 after structural relaxation at the PBE level of DFT.

Formation energy from the elements (eV per atom): -0.567
Energy above the lowest structure with this stoichiometry (meV/atom): 40

Cell and atoms, written as CIF:
```
data_Sr2Sn5Rh3
_chemical_formula_sum 'Sr8 Sn20 Rh12'
_space_group_name_H-M_alt 'C m c 21'
_space_group_IT_number 36
_space_group_name_Hall 'C 2c -2'
_cell_length_a 4.5727
_cell_length_b 27.1793
_cell_length_c 7.3503
_cell_angle_alpha 90.00
_cell_angle_beta 90.00
_cell_angle_gamma 90.00
loop_
_atom_site_label
_atom_site_fract_x
_atom_site_fract_y
_atom_site_fract_z
_atom_site_occupancy
Sr1 0.0000 0.0224 0.0000 1
Sr2 0.0000 0.3254 0.0254 1
Sn1 0.0000 0.0977 0.3702 1
Sn2 0.0000 0.2058 0.8237 1
Sn3 0.0000 0.2103 0.2392 1
Sn4 0.0000 0.3763 0.5014 1
Sn5 0.0000 0.4488 0.1677 1
Rh1 0.0000 0.1072 0.7436 1
Rh2 0.0000 0.2763 0.5330 1
Rh3 0.0000 0.4474 0.7862 1
```

=====

Entry 10:
Computed, not measured: InP2S2 after structural relaxation at the PBE level of DFT.

Energy above the lowest structure with this stoichiometry (meV/atom): 628
Formation energy (no corrections) (eV per atom): 0.693

Cell and atoms, written as CIF:
```
data_InP2S2
_chemical_formula_sum 'In1 P2 S2'
_space_group_name_H-M_alt 'P 4/m m m'
_space_group_IT_number 123
_space_group_name_Hall '-P 4 2'
_cell_length_a 4.6693
_cell_length_b 4.6693
_cell_length_c 4.6560
_cell_angle_alpha 90.00
_cell_angle_beta 90.00
_cell_angle_gamma 90.00
loop_
_atom_site_label
_atom_site_fract_x
_atom_site_fract_y
_atom_site_fract_z
_atom_site_occupancy
In1 0.0000 0.0000 0.0000 1
P1 0.0000 0.5000 0.5000 1
S1 0.5000 0.5000 0.0000 1
S2 0.5000 0.5000 0.5000 1
```

=====

Entry 11:
Computed, not measured: PHAuO2 after structural relaxation at the PBE level of DFT.

Energy above the lowest structure with this stoichiometry (meV/atom): 421

Cell and atoms, written as CIF:
```
data_PHAuO2
_chemical_formula_sum 'P1 H1 Au1 O2'
_space_group_name_H-M_alt 'P 4/m m m'
_space_group_IT_number 123
_space_group_name_Hall '-P 4 2'
_cell_length_a 3.9205
_cell_length_b 3.9205
_cell_length_c 5.2135
_cell_angle_alpha 90.00
_cell_angle_beta 90.00
_cell_angle_gamma 90.00
loop_
_atom_site_label
_atom_site_fract_x
_atom_site_fract_y
_atom_site_fract_z
_atom_site_occupancy
P1 0.0000 0.0000 0.0000 1
H1 0.5000 0.5000 0.0000 1
Au1 0.0000 0.0000 0.5000 1
O1 0.0000 0.5000 0.5000 1
```

=====

Number 1: N(E_F) 0.00 states/eV/f.u., E_tot -3.67 eV per atom, total moment 0.00 μB/cell. Number 2: N(E_F) 12.88 states/eV/f.u., E_tot -3.72 eV per atom, total moment 12.97 μB/cell. Number 3: N(E_F) 15.10 states/eV/f.u., E_tot -1.72 eV per atom, total moment 0.00 μB/cell. Number 4: N(E_F) 2.88 states/eV/f.u., E_tot -4.51 eV per atom, total moment 7.78 μB/cell. Number 5: N(E_F) 3.36 states/eV/f.u., E_tot -1.55 eV per atom, total moment 0.00 μB/cell. Number 6: N(E_F) 3.56 states/eV/f.u., E_tot -7.77 eV per atom, total moment 0.00 μB/cell. Number 7: N(E_F) 2.89 states/eV/f.u., E_tot -6.00 eV per atom, total moment 0.00 μB/cell. Number 8: N(E_F) 9.40 states/eV/f.u., E_tot -2.81 eV per atom, total moment 1.50 μB/cell. Number 9: N(E_F) 6.31 states/eV/f.u., E_tot -5.11 eV per atom, total moment 0.00 μB/cell. Number 10: N(E_F) 6.04 states/eV/f.u., E_tot -3.67 eV per atom, total moment 0.00 μB/cell. Number 11: N(E_F) 3.27 states/eV/f.u., E_tot -3.19 eV per atom, total moment 1.44 μB/cell.